# 1
An optimized crystal structure of TlOs2W, computed with PBE.

Crystal system: cubic
Total DFT energy (no corrections): -8.3611 eV per atom
ΔH_f (0 K): 1084 meV/atom
ΔE to the lowest computed polymorph: 555 meV/atom

a = 6.4350 Å, b = 6.4350 Å, c = 6.4350 Å
α = 90.00°, β = 90.00°, γ = 90.00°
Last column: nearest neighbours and their distance in Å.
Space group F-43m (No. 216)
One atom of each set of equivalent atoms:
Tl 0.0000 0.0000 0.0000  4 W 2.79, 4 Os 2.79
Os 0.0000 0.0000 0.5000  4 Os 2.79, 4 W 2.79
Os 0.2500 0.2500 0.7500  4 Tl 2.79, 4 Os 2.79
W 0.2500 0.2500 0.2500  4 Tl 2.79, 4 Os 2.79

# 2
An optimized crystal structure of TlOs2W, computed with PBE.

Crystal system: monoclinic
Total DFT energy (no corrections): -8.7402 eV per atom
ΔH_f (0 K): 705 meV/atom
ΔE to the lowest computed polymorph: 176 meV/atom

a = 9.2657 Å, b = 2.9110 Å, c = 5.1268 Å
α = 90.00°, β = 100.68°, γ = 90.00°
Last column: nearest neighbours and their distance in Å.
Space group C2/m (No. 12)
One atom of each set of equivalent atoms:
Tl 0.0000 0.0000 0.0000  6 Os 2.87-3.01, 2 Tl 2.91, 4 W 2.95
Os 0.2352 0.0000 0.7065  4 Os 2.63-2.91, 3 W 2.67-2.85, 1 Tl 2.87
W 0.0000 0.5000 0.5000  6 Os 2.67-2.85, 2 W 2.91, 4 Tl 2.95

# 3
An optimized crystal structure of Tl2OsW, computed with PBE.

Crystal system: tetragonal
Total DFT energy (no corrections): -5.8717 eV per atom
ΔH_f (0 K): 1357 meV/atom
ΔE to the lowest computed polymorph: 865 meV/atom

a = 4.1200 Å, b = 4.1200 Å, c = 9.0469 Å
α = 90.00°, β = 90.00°, γ = 90.00°
Last column: nearest neighbours and their distance in Å.
Space group I4/mmm (No. 139)
One atom of each set of equivalent atoms:
Tl 0.0000 0.5000 0.2500  4 Tl 2.91, 4 W 3.06, 4 Os 3.06
Os 0.0000 0.0000 0.0000  4 W 2.91, 8 Tl 3.06
W 0.0000 0.0000 0.5000  4 Os 2.91, 8 Tl 3.06

# 4
An optimized crystal structure of TlOs2W, computed with PBE.

Crystal system: tetragonal
Total DFT energy (no corrections): -8.6807 eV per atom
ΔH_f (0 K): 764 meV/atom
ΔE to the lowest computed polymorph: 235 meV/atom

a = 4.1666 Å, b = 4.1666 Å, c = 7.5679 Å
α = 90.00°, β = 90.00°, γ = 90.00°
Last column: nearest neighbours and their distance in Å.
Space group I4/mmm (No. 139)
One atom of each set of equivalent atoms:
Tl 0.0000 0.0000 0.0000  8 Os 2.81, 4 W 2.95
Os 0.0000 0.5000 0.2500  4 Tl 2.81, 4 W 2.81, 4 Os 2.95
W 0.0000 0.0000 0.5000  8 Os 2.81, 4 Tl 2.95

# 5
An optimized crystal structure of TlOs2W, computed with PBE.

Crystal system: orthorhombic
Total DFT energy (no corrections): -8.5870 eV per atom
ΔH_f (0 K): 858 meV/atom
ΔE to the lowest computed polymorph: 329 meV/atom

a = 5.8830 Å, b = 7.6475 Å, c = 2.9375 Å
α = 90.00°, β = 90.00°, γ = 90.00°
Last column: nearest neighbours and their distance in Å.
Space group Cmmm (No. 65)
One atom of each set of equivalent atoms:
Tl 0.0000 0.0000 0.0000  8 Os 2.82, 2 Tl 2.94, 2 W 2.94
Os 0.2500 0.2500 0.5000  4 Tl 2.82, 4 W 2.82, 4 Os 2.94
W 0.0000 0.5000 0.0000  8 Os 2.82, 2 W 2.94, 2 Tl 2.94

# 6
An optimized crystal structure of Tl2OsW, computed with PBE.

Crystal system: monoclinic
Total DFT energy (no corrections): -6.7365 eV per atom
ΔH_f (0 K): 492 meV/atom
ΔE to the lowest computed polymorph: 0 meV/atom

a = 3.0624 Å, b = 3.1064 Å, c = 9.0131 Å
α = 90.00°, β = 99.78°, γ = 90.00°
Last column: nearest neighbours and their distance in Å.
Space group Pm (No. 6)
One atom of each set of equivalent atoms:
Tl 0.0000 0.0000 0.0000  6 Tl 3.06-3.34, 4 Os 3.13-3.16
Tl 0.1749 0.5000 0.3326  6 Tl 3.06-3.34, 4 W 3.15
Os 0.3800 0.5000 0.7449  4 W 2.59
W 0.8016 0.0000 0.5884  4 Os 2.59

# 7
An optimized crystal structure of Tl2OsW, computed with PBE.

Crystal system: trigonal
Total DFT energy (no corrections): -6.5695 eV per atom
ΔH_f (0 K): 659 meV/atom
ΔE to the lowest computed polymorph: 167 meV/atom

a = 3.0377 Å, b = 3.0377 Å, c = 30.1085 Å
α = 90.00°, β = 90.00°, γ = 120.00°
Last column: nearest neighbours and their distance in Å.
Space group R3m (No. 160, hexagonal axes)
One atom of each set of equivalent atoms:
Tl 0.0000 0.0000 0.0000  6 Tl 3.04, 3 W 3.13
Tl 0.0000 0.0000 0.2351  6 Tl 3.04, 3 Os 3.08
Os 0.0000 0.0000 0.4842  3 W 2.62
W 0.0000 0.0000 0.7528  3 Os 2.62

# 8
An optimized crystal structure of Tl2OsW, computed with PBE.

Crystal system: orthorhombic
Total DFT energy (no corrections): -6.2935 eV per atom
ΔH_f (0 K): 935 meV/atom
ΔE to the lowest computed polymorph: 443 meV/atom

a = 3.1557 Å, b = 4.8603 Å, c = 11.5773 Å
α = 90.00°, β = 90.00°, γ = 90.00°
Last column: nearest neighbours and their distance in Å.
Space group Imm2 (No. 44)
One atom of each set of equivalent atoms:
Tl 0.0000 0.0000 0.0000  4 Os 3.02, 2 Tl 3.16
Tl 0.0000 0.5000 0.2103  4 W 2.98, 2 Tl 3.16
Os 0.0000 0.0000 0.4274  2 W 2.40
W 0.0000 0.5000 0.7711  2 Os 2.40

# 9
An optimized crystal structure of Tl2OsW, computed with PBE.

Crystal system: monoclinic
Total DFT energy (no corrections): -6.0525 eV per atom
ΔH_f (0 K): 1176 meV/atom
ΔE to the lowest computed polymorph: 684 meV/atom

a = 3.0667 Å, b = 4.8128 Å, c = 5.1900 Å
α = 90.00°, β = 91.82°, γ = 90.00°
Last column: nearest neighbours and their distance in Å.
Space group P2/m (No. 10)
One atom of each set of equivalent atoms:
Tl 0.2303 0.0000 0.2526  2 Os 2.83, 2 W 2.87, 6 Tl 2.94-3.14
Os 0.0000 0.5000 0.5000  4 Tl 2.83, 4 W 2.97-3.06, 2 Os 3.07
W 0.5000 0.5000 0.0000  4 Tl 2.87, 4 Os 2.97-3.06, 2 W 3.07

# 10
An optimized crystal structure of TlOs2W, computed with PBE.

Crystal system: orthorhombic
Total DFT energy (no corrections): -8.6754 eV per atom
ΔH_f (0 K): 769 meV/atom
ΔE to the lowest computed polymorph: 241 meV/atom

a = 3.0283 Å, b = 4.8162 Å, c = 9.5559 Å
α = 90.00°, β = 90.00°, γ = 90.00°
Last column: nearest neighbours and their distance in Å.
Space group Cmmm (No. 65)
One atom of each set of equivalent atoms:
Tl 0.0000 0.0000 0.0000  6 Tl 2.84-3.03, 4 Os 3.06
Os 0.0000 0.5000 0.2781  2 W 2.61, 4 Os 2.84
W 0.0000 0.0000 0.5000  4 Os 2.61, 4 W 2.84

# 11
An optimized crystal structure of TlOs2W, computed with PBE.

Crystal system: monoclinic
Total DFT energy (no corrections): -8.5634 eV per atom
ΔH_f (0 K): 881 meV/atom
ΔE to the lowest computed polymorph: 353 meV/atom

a = 2.8418 Å, b = 4.4279 Å, c = 5.7215 Å
α = 90.00°, β = 98.39°, γ = 90.00°
Last column: nearest neighbours and their distance in Å.
Space group P2/m (No. 10)
One atom of each set of equivalent atoms:
Tl 0.0000 0.0000 0.0000  4 Os 2.79, 2 Tl 2.84, 2 W 3.00
Os 0.1407 0.5000 0.2974  4 Os 2.56-2.86, 2 W 2.63, 2 Tl 2.79
W 0.5000 0.0000 0.5000  4 Os 2.63, 2 W 2.84

# 12
An optimized crystal structure of TlOs2W, computed with PBE.

Crystal system: tetragonal
Total DFT energy (no corrections): -8.9160 eV per atom
ΔH_f (0 K): 529 meV/atom
ΔE to the lowest computed polymorph: 0 meV/atom

a = 2.9368 Å, b = 2.9368 Å, c = 7.8307 Å
α = 90.00°, β = 90.00°, γ = 90.00°
Last column: nearest neighbours and their distance in Å.
Space group P4/mmm (No. 123)
One atom of each set of equivalent atoms:
Tl 0.0000 0.0000 0.0000  4 Tl 2.94, 8 Os 3.02
Os 0.5000 0.5000 0.2795  4 W 2.70, 4 Os 2.94, 4 Tl 3.02
W 0.0000 0.0000 0.5000  8 Os 2.70, 4 W 2.94

# 13
An optimized crystal structure of Tl2OsW, computed with PBE.

Crystal system: tetragonal
Total DFT energy (no corrections): -6.7109 eV per atom
ΔH_f (0 K): 518 meV/atom
ΔE to the lowest computed polymorph: 26 meV/atom

a = 3.0898 Å, b = 3.0898 Å, c = 8.9708 Å
α = 90.00°, β = 90.00°, γ = 90.00°
Last column: nearest neighbours and their distance in Å.
Space group P4mm (No. 99)
One atom of each set of equivalent atoms:
Tl 0.0000 0.0000 0.0000  4 Tl 3.09, 4 Os 3.19
Tl 0.5000 0.5000 0.3317  4 Tl 3.09, 4 W 3.17
Os 0.5000 0.5000 0.7409  4 W 2.58
W 0.0000 0.0000 0.5883  4 Os 2.58

# 14
An optimized crystal structure of TlOs3W, computed with PBE.

Crystal system: cubic
Total DFT energy (no corrections): -7.6401 eV per atom
ΔH_f (0 K): 2162 meV/atom
ΔE to the lowest computed polymorph: 0 meV/atom

a = 4.7730 Å, b = 4.7730 Å, c = 4.7730 Å
α = 90.00°, β = 90.00°, γ = 90.00°
Last column: nearest neighbours and their distance in Å.
Space group Pm-3m (No. 221)
One atom of each set of equivalent atoms:
Tl 0.0000 0.0000 0.0000  12 Os 3.37
Os 0.0000 0.5000 0.5000  2 W 2.39
W 0.5000 0.5000 0.5000  6 Os 2.39

# 15
An optimized crystal structure of Tl2OsW, computed with PBE.

Crystal system: tetragonal
Total DFT energy (no corrections): -5.6261 eV per atom
ΔH_f (0 K): 1603 meV/atom
ΔE to the lowest computed polymorph: 1110 meV/atom

a = 7.7503 Å, b = 7.7503 Å, c = 5.5579 Å
α = 90.00°, β = 90.00°, γ = 90.00°
Last column: nearest neighbours and their distance in Å.
Space group I-42d (No. 122)
One atom of each set of equivalent atoms:
Tl 0.2374 0.2500 0.1250  2 Os 2.76, 2 Tl 2.79, 2 W 2.89
Os 0.0000 0.0000 0.0000  4 Tl 2.76, 2 W 2.78
W 0.0000 0.0000 0.5000  2 Os 2.78, 4 Tl 2.89